Record 1
Entry from Alexandria: an optimized crystal structure of Li2TeAs (PBE).

The energy relative to the lowest polymorph listed for this composition comes out at 0.44 eV/f.u. As for the raw formation energy: -0.40 eV per atom. As for the theoretical density: 3.8 Mg/m³.

Unit cell a=2.852 b=4.219 c=7.799 alpha=90.00 beta=90.00 gamma=90.00
Element x y z (fractional)
Te (0.000, 0.000, 0.458)
Li (0.500, 0.500, 0.273)
Li (0.000, 0.000, 0.832)
As (0.500, 0.500, 0.937)

***

Record 2
Entry from Alexandria: an optimized crystal structure of Li2ZnHOs (PBE).

For the uncorrected energy, the calculation gives -3.94 eV per atom. As for the theoretical density: 8.3 Mg/m³.

Unit cell a=3.688 b=3.973 c=3.688 alpha=90.00 beta=90.00 gamma=90.00
Element x y z (fractional)
Zn (0.500, 0.500, 0.500)
Li (0.000, 0.000, 0.500)
Li (0.500, 0.000, 0.000)
H (0.000, 0.000, 0.000)
Os (0.000, 0.500, 0.000)

***

Record 3
Entry from Alexandria: an optimized crystal structure of PrZn2 (PBE).

The formation enthalpy at 0 K comes out at -0.30 eV/atom. As for the theoretical density: 6.5 Mg/m³.

Unit cell a=4.256 b=4.256 c=8.253 alpha=104.94 beta=104.94 gamma=90.00
Each line ends with the local moment (μB).
Element x y z (fractional)
Zn (0.417, 0.417, 0.835)  0.01
Zn (0.583, 0.583, 0.165)  0.01
Zn (0.333, 0.833, 0.665)  0.01
Zn (0.167, 0.667, 0.335)  0.01
Pr (0.750, 0.250, 0.500)  0.06
Pr (0.000, 0.000, 0.000)  0.06

***

Record 4
Entry from Alexandria: an optimized crystal structure of Tb5PrTe6 (PBE).

As for the raw formation energy: -1.33 eV per atom. As for the theoretical density: 7.8 Mg/m³.

Unit cell a=7.601 b=7.624 c=7.628 alpha=60.02 beta=80.43 gamma=70.56
Element x y z (fractional)
Te (0.752, 0.739, 0.000)
Te (0.743, 0.085, 0.344)
Te (0.248, 0.261, 0.000)
Te (0.257, 0.915, 0.656)
Te (0.743, 0.429, 0.656)
Te (0.257, 0.571, 0.344)
Tb (0.000, 0.334, 0.332)
Tb (0.500, 0.156, 0.687)
Tb (0.500, 0.500, 0.000)
Tb (0.000, 0.666, 0.668)
Tb (0.500, 0.844, 0.313)
Pr (0.000, 0.000, 0.000)

***

Record 5
Entry from Alexandria: an optimized crystal structure of Tb4Dy4Th (PBE).

The formation enthalpy at 0 K comes out at 0.03 eV/atom. As for the theoretical density: 8.8 Mg/m³.

Unit cell a=5.038 b=7.951 c=7.951 alpha=84.24 beta=71.53 gamma=71.53
Element x y z (fractional)
Dy (0.664, 0.671, 0.000)
Dy (0.336, 0.000, 0.329)
Dy (0.336, 0.329, 0.000)
Dy (0.664, 0.000, 0.671)
Th (0.000, 0.000, 0.000)
Tb (0.000, 0.669, 0.331)
Tb (0.000, 0.331, 0.669)
Tb (0.331, 0.669, 0.669)
Tb (0.669, 0.331, 0.331)

***

Record 6
Entry from Alexandria: an optimized crystal structure of CeScN (PBE).

The energy relative to the lowest polymorph listed for this composition comes out at 0.00 eV/f.u. As for the raw formation energy: -1.04 eV per atom. As for the theoretical density: 5.7 Mg/m³.

Unit cell a=3.292 b=3.292 c=12.441 alpha=82.40 beta=82.40 gamma=60.00
Each line ends with the local moment (μB).
Element x y z (fractional)
Sc (0.957, 0.957, 0.129)  0.00
Sc (0.043, 0.043, 0.871)  0.00
N (0.405, 0.405, 0.784)  0.00
N (0.595, 0.595, 0.216)  0.00
Ce (0.782, 0.782, 0.654)  0.50
Ce (0.218, 0.218, 0.346)  0.50

***

Record 7
Entry from Alexandria: an optimized crystal structure of Sm2YAg (PBE).

The energy relative to the lowest polymorph listed for this composition comes out at 0.06 eV/f.u. The formation enthalpy at 0 K comes out at -0.11 eV/atom. As for the theoretical density: 7.0 Mg/m³.

Unit cell a=3.649 b=3.649 c=8.911 alpha=90.00 beta=90.00 gamma=90.00
Element x y z (fractional)
Sm (0.000, 0.000, 0.216)
Sm (0.000, 0.000, 0.784)
Y (0.500, 0.500, 0.500)
Ag (0.500, 0.500, 0.000)

***

Record 8
Entry from Alexandria: an optimized crystal structure of Zn3P (PBE).

The energy relative to the lowest polymorph listed for this composition comes out at 0.16 eV/f.u. The formation enthalpy at 0 K comes out at 0.08 eV/atom. As for the theoretical density: 5.4 Mg/m³.

Unit cell a=6.352 b=6.352 c=3.468 alpha=74.19 beta=74.19 gamma=31.68
Element x y z (fractional)
Zn (0.795, 0.795, 0.205)
Zn (0.500, 0.500, 0.500)
Zn (0.205, 0.205, 0.795)
P (0.000, 0.000, 0.000)

***

Record 9
Entry from Alexandria: an optimized crystal structure of Tb2Pm12Nd5 (PBE).

The energy relative to the lowest polymorph listed for this composition comes out at 0.00 eV/f.u. The formation enthalpy at 0 K comes out at 0.10 eV/atom. As for the theoretical density: 7.0 Mg/m³.

Unit cell a=6.275 b=10.823 c=10.823 alpha=66.36 beta=79.21 gamma=79.21
Element x y z (fractional)
Pm (0.382, 0.357, 0.849)
Pm (0.004, 0.120, 0.120)
Pm (0.726, 0.553, 0.553)
Pm (0.996, 0.880, 0.880)
Pm (0.200, 0.057, 0.548)
Pm (0.274, 0.447, 0.447)
Pm (0.200, 0.548, 0.057)
Pm (0.618, 0.643, 0.151)
Pm (0.800, 0.452, 0.943)
Pm (0.800, 0.943, 0.452)
Pm (0.382, 0.849, 0.357)
Pm (0.618, 0.151, 0.643)
Nd (0.858, 0.324, 0.324)
Nd (0.552, 0.786, 0.786)
Nd (0.448, 0.214, 0.214)
Nd (0.500, 0.000, 0.000)
Nd (0.142, 0.676, 0.676)
Tb (0.000, 0.771, 0.229)
Tb (0.000, 0.229, 0.771)

***

Record 10
Entry from Alexandria: an optimized crystal structure of LiReSnHg2 (PBE).

The formation enthalpy at 0 K comes out at 1.11 eV/atom. As for the theoretical density: 10.8 Mg/m³.

Unit cell a=4.696 b=4.976 c=4.696 alpha=90.00 beta=90.00 gamma=90.00
Each line ends with the local moment (μB).
Element x y z (fractional)
Hg (0.500, 0.000, 0.000)  0.01
Hg (0.000, 0.000, 0.500)  0.01
Re (0.500, 0.500, 0.500)  2.98
Sn (0.000, 0.500, 0.000)  -0.04
Li (0.000, 0.000, 0.000)  0.03

***

Record 11
Entry from Alexandria: an optimized crystal structure of BeAgSe (PBE).

The energy relative to the lowest polymorph listed for this composition comes out at 0.20 eV/f.u. As for the raw formation energy: -0.19 eV per atom. As for the theoretical density: 5.7 Mg/m³.

Unit cell a=3.585 b=5.428 c=6.557 alpha=69.11 beta=74.89 gamma=85.57
Element x y z (fractional)
Be (0.511, 0.606, 0.209)
Be (0.155, 0.170, 0.941)
Ag (0.505, 0.897, 0.702)
Ag (0.049, 0.307, 0.552)
Se (0.611, 0.400, 0.971)
Se (0.953, 0.803, 0.270)